SrLa3Pt: optimized geometry, PBE.

Cell and atoms, written as CIF:
```
data_SrLa3Pt
_cell_length_a 6.486
_cell_length_b 7.459
_cell_length_c 7.719
_cell_angle_alpha 90.30
_cell_angle_beta 96.09
_cell_angle_gamma 90.02
_symmetry_space_group_name_H-M 'P -1'
_symmetry_Int_Tables_number 2
_symmetry_space_group_name_Hall '-P 1'
loop_
_atom_site_label
_atom_site_type_symbol
_atom_site_fract_x
_atom_site_fract_y
_atom_site_fract_z
_atom_site_occupancy
Sr1 Sr 0.029 0.250 0.095 1
La1 La 0.094 0.750 0.424 1
La2 La 0.452 0.499 0.741 1
La3 La 0.453 0.004 0.741 1
Pt1 Pt 0.323 0.250 0.459 1
```

ΔH_f (0 K) (eV per atom): -0.44
Uncorrected energy (eV/atom): -4.94
Distance to the lowest polymorph of the same formula (meV/atom): 0.0
Fermi-level density of states (states/eV per atom): 1.2592